Compound: ScMoOs2
Source: the Alexandria database
Functional: PBE-GGA
Structure: optimized geometry

Output
- Space-group type: No. 166
- D(E_F): 4.18 states/eV/cell
- Energy relative to the elements: 0.1261 eV per atom

```
ScMoOs2
1.0
-5.913 -1.977 -6.636
-7.626 -2.370 -4.375
-7.277 0.254 -5.467
Mo Os Sc
1 2 1
Direct
0.750 0.750 0.750
0.497 0.497 0.497
0.003 0.003 0.003
0.250 0.250 0.250
```